Record 1
A geometry-optimized NaCaB5H8O13 structure. Source: Alexandria via LeMat-Bulk, functional PBE-GGA.

Calculated volume, Å³/f.u.: 254.16
Uncorrected energy, eV per cell: -725.70
M_tot, μB/atom: 0.000
Fermi-level density of states, states/eV/cell: 0.00

Cell lengths 6.545, 11.632, 13.385 Å; angles 90.00, 90.00, 93.95 degrees
Sites, in units of the cell vectors:
Na 0.348 0.855 0.518
Na 0.652 0.645 0.018
Na 0.652 0.145 0.482
Na 0.348 0.355 0.982
Ca 0.215 0.582 0.609
Ca 0.785 0.918 0.109
Ca 0.785 0.418 0.391
Ca 0.215 0.082 0.891
B 0.624 0.680 0.459
B 0.376 0.820 0.959
B 0.376 0.320 0.541
B 0.624 0.180 0.041
B 0.313 0.575 0.372
B 0.687 0.925 0.872
B 0.687 0.425 0.628
B 0.313 0.075 0.128
B 0.840 0.785 0.756
B 0.160 0.715 0.256
B 0.160 0.215 0.244
B 0.840 0.285 0.744
B 0.884 0.780 0.566
B 0.116 0.720 0.066
B 0.116 0.220 0.434
B 0.884 0.280 0.934
B 0.987 0.657 0.418
B 0.013 0.843 0.918
B 0.013 0.343 0.582
B 0.987 0.157 0.082
H 0.227 0.784 0.738
H 0.773 0.716 0.238
H 0.773 0.216 0.262
H 0.227 0.284 0.762
H 0.465 0.798 0.719
H 0.535 0.702 0.219
H 0.535 0.202 0.281
H 0.465 0.298 0.781
H 0.682 0.596 0.656
H 0.318 0.904 0.156
H 0.318 0.404 0.344
H 0.682 0.096 0.844
H 0.089 0.631 0.814
H 0.911 0.869 0.314
H 0.911 0.369 0.186
H 0.089 0.131 0.686
H 0.077 0.496 0.831
H 0.923 0.004 0.331
H 0.923 0.504 0.169
H 0.077 0.996 0.669
H 0.876 0.952 0.540
H 0.124 0.548 0.040
H 0.124 0.048 0.460
H 0.876 0.452 0.960
H 0.410 0.047 0.652
H 0.590 0.453 0.152
H 0.590 0.953 0.348
H 0.410 0.547 0.848
H 0.603 0.978 0.670
H 0.397 0.522 0.170
H 0.397 0.022 0.330
H 0.603 0.478 0.830
O 0.102 0.554 0.407
O 0.898 0.946 0.907
O 0.898 0.446 0.593
O 0.102 0.054 0.093
O 0.863 0.727 0.668
O 0.137 0.773 0.168
O 0.137 0.273 0.332
O 0.863 0.227 0.832
O 0.419 0.653 0.447
O 0.581 0.847 0.947
O 0.581 0.347 0.553
O 0.419 0.153 0.053
O 0.312 0.639 0.272
O 0.688 0.861 0.772
O 0.688 0.361 0.728
O 0.312 0.139 0.228
O 0.766 0.617 0.412
O 0.234 0.883 0.912
O 0.234 0.383 0.588
O 0.766 0.117 0.088
O 0.683 0.774 0.516
O 0.317 0.726 0.016
O 0.317 0.226 0.484
O 0.683 0.274 0.984
O 0.332 0.768 0.688
O 0.668 0.732 0.188
O 0.668 0.232 0.312
O 0.332 0.268 0.812
O 0.582 0.531 0.641
O 0.418 0.969 0.141
O 0.418 0.469 0.359
O 0.582 0.031 0.859
O 0.034 0.715 0.513
O 0.966 0.785 0.013
O 0.966 0.285 0.487
O 0.034 0.215 0.987
O 0.154 0.559 0.794
O 0.846 0.941 0.294
O 0.846 0.441 0.206
O 0.154 0.059 0.706
O 0.033 0.097 0.424
O 0.967 0.403 0.924
O 0.967 0.903 0.576
O 0.033 0.597 0.076
O 0.977 0.262 0.669
O 0.023 0.238 0.169
O 0.023 0.738 0.331
O 0.977 0.762 0.831
O 0.533 0.021 0.618
O 0.467 0.479 0.118
O 0.467 0.979 0.382
O 0.533 0.521 0.882

---

Record 2
A geometry-optimized Mn2NbTc structure. Source: Alexandria via LeMat-Bulk, functional PBE-GGA.

ΔE_f, eV/atom: 0.5119
Calculated volume, Å³/f.u.: 60.83
M_tot, μB/atom: 0.955
Fermi-level density of states, states/eV/cell: 9.29

Cell lengths 6.796, 6.796, 5.480 Å; angles 51.68, 51.68, 90.00 degrees
Each line ends with the local moment (μB).
Sites, in units of the cell vectors:
Nb 0.500 0.500 0.000  -0.37
Nb 0.250 0.750 0.500  -0.37
Mn 0.643 0.125 0.250  2.19
Mn 0.107 0.625 0.250  2.18
Mn 0.375 0.357 0.750  2.19
Mn 0.875 0.893 0.750  2.18
Tc 0.000 0.000 0.000  -0.28
Tc 0.750 0.250 0.500  -0.28

---

Record 3
A geometry-optimized Rb2ZrCu2Te4 structure. Source: Alexandria via LeMat-Bulk, functional PBE-GGA.

Calculated volume, Å³/f.u.: 274.04
Formation energy without anion corrections, meV/atom: -717
M_tot, μB/atom: 0.000
Fermi-level density of states, states/eV/cell: 1.64

Cell lengths 4.232, 8.676, 8.144 Å; angles 107.70, 105.06, 90.00 degrees
Sites, in units of the cell vectors:
Rb 0.135 0.562 0.270
Rb 0.865 0.438 0.730
Zr 0.000 0.000 0.000
Cu 0.685 0.987 0.370
Cu 0.315 0.013 0.630
Te 0.195 0.175 0.389
Te 0.805 0.825 0.611
Te 0.520 0.777 0.041
Te 0.480 0.223 0.959

---

Record 4
A geometry-optimized YCrHN2 structure. Source: Alexandria via LeMat-Bulk, functional PBE-GGA.

Calculated volume, Å³/f.u.: 49.40
Uncorrected energy, eV per cell: -40.04
M_tot, μB/atom: 0.074
Fermi-level density of states, states/eV/cell: 2.47

Cell lengths 3.808, 3.808, 3.407 Å; angles 90.00, 90.00, 90.00 degrees
Each line ends with the local moment (μB).
Sites, in units of the cell vectors:
Y 0.500 0.500 0.500  0.00
Cr 0.000 0.000 0.000  0.36
H 0.000 0.000 0.500  0.00
N 0.000 0.500 0.000  -0.01
N 0.500 0.000 0.000  -0.01

---

Record 5
A geometry-optimized Sc2InPdC structure. Source: Alexandria via LeMat-Bulk, functional PBE-GGA.

ΔE_f, eV/atom: -0.4457
Calculated volume, Å³/f.u.: 86.92
M_tot, μB/atom: 0.000
Fermi-level density of states, states/eV/cell: 3.10

Cell lengths 4.497, 4.497, 4.299 Å; angles 90.00, 90.00, 90.00 degrees
Sites, in units of the cell vectors:
Sc 0.000 0.500 0.000
Sc 0.500 0.000 0.000
C 0.000 0.000 0.000
Pd 0.000 0.000 0.500
In 0.500 0.500 0.500

---

Record 6
A geometry-optimized NaInBr3 structure. Source: Alexandria via LeMat-Bulk, functional PBE-GGA.

Calculated volume, Å³/f.u.: 183.11
Formation energy without anion corrections, meV/atom: -902
M_tot, μB/atom: 0.000
Fermi-level density of states, states/eV/cell: 1.01

Cell lengths 5.679, 5.679, 5.679 Å; angles 90.00, 90.00, 90.00 degrees
Sites, in units of the cell vectors:
Na 0.500 0.500 0.500
Br 0.000 0.500 0.000
Br 0.000 0.000 0.500
Br 0.500 0.000 0.000
In 0.000 0.000 0.000

---

Record 7
A geometry-optimized SmYIr structure. Source: Alexandria via LeMat-Bulk, functional PBE-GGA.

ΔE_f, eV/atom: -0.6180
Calculated volume, Å³/f.u.: 81.18
M_tot, μB/atom: 0.000
Fermi-level density of states, states/eV/cell: 3.31

Cell lengths 4.860, 4.860, 4.860 Å; angles 60.00, 60.00, 60.00 degrees
Sites, in units of the cell vectors:
Y 0.000 0.000 0.000
Ir 0.250 0.250 0.250
Sm 0.500 0.500 0.500

---

Record 8
A geometry-optimized Sm6TlRh3 structure. Source: Alexandria via LeMat-Bulk, functional PBE-GGA.

ΔE_f, eV/atom: -0.5274
Calculated volume, Å³/f.u.: 285.12
M_tot, μB/atom: 0.000
Fermi-level density of states, states/eV/cell: 13.04

Cell lengths 4.098, 11.926, 12.239 Å; angles 107.57, 90.00, 90.00 degrees
Sites, in units of the cell vectors:
Sm 0.750 0.476 0.612
Sm 0.250 0.524 0.388
Sm 0.750 0.927 0.089
Sm 0.250 0.073 0.911
Sm 0.750 0.388 0.047
Sm 0.250 0.612 0.953
Sm 0.750 0.706 0.261
Sm 0.250 0.294 0.739
Sm 0.750 0.150 0.471
Sm 0.250 0.850 0.529
Sm 0.750 0.790 0.764
Sm 0.250 0.210 0.236
Tl 0.750 0.050 0.693
Tl 0.250 0.950 0.307
Rh 0.750 0.457 0.837
Rh 0.250 0.543 0.163
Rh 0.750 0.678 0.501
Rh 0.250 0.322 0.499
Rh 0.750 0.159 0.077
Rh 0.250 0.841 0.923

---

Record 9
A geometry-optimized Ac2TbPm structure. Source: Alexandria via LeMat-Bulk, functional PBE-GGA.

ΔE_f, eV/atom: 0.0429
Calculated volume, Å³/f.u.: 154.25
M_tot, μB/atom: 0.000
Fermi-level density of states, states/eV/cell: 6.91

Cell lengths 3.869, 3.869, 10.307 Å; angles 90.00, 90.00, 90.00 degrees
Sites, in units of the cell vectors:
Ac 0.000 0.000 0.753
Ac 0.000 0.000 0.247
Tb 0.500 0.500 0.000
Pm 0.500 0.500 0.500

---

Record 10
A geometry-optimized Nd2SbS4 structure. Source: Alexandria via LeMat-Bulk, functional PBE-GGA.

Calculated volume, Å³/f.u.: 192.04
Formation energy without anion corrections, meV/atom: -1320
M_tot, μB/atom: 0.000
Fermi-level density of states, states/eV/cell: 1.90

Cell lengths 4.338, 7.155, 7.562 Å; angles 119.90, 106.67, 90.00 degrees
Sites, in units of the cell vectors:
Nd 0.722 0.729 0.443
Nd 0.278 0.271 0.557
Sb 0.000 0.000 0.000
S 0.878 0.192 0.756
S 0.122 0.808 0.244
S 0.638 0.272 0.275
S 0.362 0.728 0.725

---

Record 11
A geometry-optimized Bi2Pd3Se2 structure. Source: Alexandria via LeMat-Bulk, functional PBE-GGA.

Calculated volume, Å³/f.u.: 158.46
Formation energy without anion corrections, meV/atom: -363
M_tot, μB/atom: 0.000
Fermi-level density of states, states/eV/cell: 4.35

Cell lengths 7.358, 7.358, 8.486 Å; angles 56.16, 56.16, 71.04 degrees
Sites, in units of the cell vectors:
Bi 0.251 0.251 0.739
Bi 0.749 0.749 0.261
Bi 0.206 0.206 0.308
Bi 0.794 0.794 0.692
Pd 0.000 0.500 0.500
Pd 0.500 0.000 0.500
Pd 0.026 0.026 0.192
Pd 0.974 0.974 0.808
Pd 0.717 0.283 0.500
Pd 0.283 0.717 0.500
Se 0.738 0.319 0.181
Se 0.319 0.738 0.181
Se 0.262 0.681 0.819
Se 0.681 0.262 0.819

---

Record 12
A geometry-optimized LaGeSN2 structure. Source: Alexandria via LeMat-Bulk, functional PBE-GGA.

Calculated volume, Å³/f.u.: 105.48
Formation energy without anion corrections, meV/atom: 736
M_tot, μB/atom: 0.000
Fermi-level density of states, states/eV/cell: 2.97

Cell lengths 4.191, 4.191, 6.004 Å; angles 90.00, 90.00, 90.00 degrees
Sites, in units of the cell vectors:
Ge 0.500 0.500 0.500
N 0.000 0.500 0.000
N 0.500 0.000 0.000
S 0.000 0.000 0.500
La 0.000 0.000 0.000